A relaxed structure of LiFeF4, computed with PBE with a Hubbard U.

a b c (Å): 6.1585 4.6627 9.9856
angles (deg): 90.00 90.35 90.00
With the nearest neighbours (Å) after each atom.
Sites, in units of the cell vectors:
Li 0.0000 0.2244 0.0000  4 F 2.00-2.12
Li 0.0000 0.7756 0.5000  4 F 2.00-2.12
Li 0.5056 0.2737 0.4454  4 F 2.00-2.13
Li 0.5056 0.7263 0.9454  4 F 2.00-2.13
Fe 0.2530 0.2508 0.7226  6 F 1.89-2.03
Fe 0.2530 0.7492 0.2226  6 F 1.89-2.03
Fe 0.7529 0.2508 0.7226  6 F 1.89-2.03
Fe 0.7529 0.7492 0.2226  6 F 1.89-2.03
F 0.0019 0.4865 0.6496  1 Li 2.01, 2 Fe 2.03
F 0.0019 0.5135 0.1496  1 Li 2.01, 2 Fe 2.03
F 0.0035 0.0418 0.8052  2 Fe 2.00, 1 Li 2.12
F 0.0035 0.9582 0.3052  2 Fe 2.00, 1 Li 2.12
F 0.2428 0.0267 0.5650  1 Fe 1.89, 1 Li 2.00
F 0.2428 0.9733 0.0650  1 Fe 1.89, 1 Li 2.00
F 0.2631 0.4747 0.8801  1 Fe 1.89, 1 Li 2.00
F 0.2631 0.5253 0.3801  1 Fe 1.89, 1 Li 2.00
F 0.5024 0.4597 0.6399  2 Fe 2.00, 1 Li 2.13
F 0.5024 0.5403 0.1399  2 Fe 2.00, 1 Li 2.13
F 0.5039 0.0150 0.7955  1 Li 2.01, 2 Fe 2.03
F 0.5039 0.9850 0.2955  1 Li 2.01, 2 Fe 2.03
F 0.7473 0.4724 0.8812  1 Fe 1.89, 1 Li 2.01
F 0.7473 0.5276 0.3812  1 Fe 1.89, 1 Li 2.01
F 0.7583 0.0288 0.5640  1 Fe 1.89, 1 Li 2.01
F 0.7583 0.9712 0.0640  1 Fe 1.89, 1 Li 2.01

raw total energy	-5.10	eV/atom
V	286.73	Å³ per cell